Entry 1:
Material: LiCuAg2
Method: DFT, GGA-PBE
State: optimized geometry

a b c (Å): 4.482 4.482 4.482
angles (deg): 60.00 60.00 60.00
Fractional positions:
1 Li 0.000 0.000 0.000
2 Cu 0.750 0.750 0.750
3 Ag 0.250 0.250 0.250
4 Ag 0.500 0.500 0.500

Calculated volume   63.65 Å³/cell
DFT formation energy   0.00 eV per atom
Crystal system   cubic

=====

Entry 2:
Material: BiIr
Method: DFT, GGA-PBE
State: optimized geometry

a b c (Å): 4.018 5.804 5.804
angles (deg): 94.64 90.00 90.00
Fractional positions:
1 Bi 0.000 0.000 0.000
2 Bi 0.500 0.156 0.538
3 Bi 0.500 0.538 0.156
4 Ir 0.000 0.448 0.767
5 Ir 0.000 0.767 0.448
6 Ir 0.500 0.745 0.745

Calculated volume   134.93 Å³/cell
DFT formation energy   0.25 eV per atom
Crystal system   orthorhombic

=====

Entry 3:
Material: Zr2InTcB
Method: DFT, GGA-PBE
State: optimized geometry

a b c (Å): 4.707 4.707 4.106
angles (deg): 90.00 90.00 90.00
Fractional positions:
1 Zr 0.000 0.500 0.000
2 Zr 0.500 0.000 0.000
3 In 0.000 0.000 0.500
4 Tc 0.500 0.500 0.500
5 B 0.500 0.500 0.000

Calculated volume   90.95 Å³/cell
DFT formation energy   -0.32 eV per atom
Crystal system   tetragonal